(1)
Here is a geometry-optimized ZrInI6 structure from OQMD. Energies are from PBE-GGA.

Cell: 7.5767 7.5767 7.6449 Å, 99.11 99.11 120.01°
With the nearest neighbours (Å) after each atom.
Fractional positions:
1 Zr 0.0000 0.0000 0.0000  6 I 2.90
2 In 0.6666 0.3334 0.0000  6 I 3.07
3 I 0.0643 0.3800 0.2341  1 Zr 2.90, 1 In 3.07
4 I 0.2417 0.2346 0.7692  1 Zr 2.90, 1 In 3.07
5 I 0.3890 0.0820 0.2321  1 Zr 2.90, 1 In 3.07
6 I 0.6200 0.9357 0.7659  1 Zr 2.90, 1 In 3.07
7 I 0.7654 0.7583 0.2308  1 Zr 2.90, 1 In 3.07
8 I 0.9180 0.6110 0.7679  1 Zr 2.90, 1 In 3.07

Properties
The value obtained for the total DFT energy (no corrections) is -3.30 eV/atom.

***

(2)
Here is a geometry-optimized BeCoPbAu structure from OQMD. Energies are from PBE-GGA.

Cell: 4.4588 4.4588 4.4588 Å, 60.00 60.00 60.00°
With the nearest neighbours (Å) after each atom.
Fractional positions:
1 Be 0.0000 0.0000 0.0000  4 Pb 2.73, 4 Au 2.73
2 Co 0.5000 0.5000 0.5000  4 Pb 2.73, 4 Au 2.73
3 Pb 0.2500 0.2500 0.2500  4 Co 2.73, 4 Be 2.73
4 Au 0.7500 0.7500 0.7500  4 Co 2.73, 4 Be 2.73

Properties
As for the polymorph energy (0 for the lowest one): 0.0000 eV/atom.

***

(3)
Here is a geometry-optimized GdYTm2Mg2 structure from OQMD. Energies are from PBE-GGA.

Cell: 5.4586 8.8110 8.8110 Å, 23.74 90.00 90.00°
With the nearest neighbours (Å) after each atom.
Fractional positions:
1 Gd 0.0000 0.0000 0.0000  6 Mg 3.30-3.32, 4 Tm 3.54-3.58, 2 Gd 3.63
2 Y 0.5000 0.8095 0.8095  6 Mg 3.30-3.32, 4 Tm 3.54-3.58, 2 Y 3.63
3 Tm 0.0000 0.6787 0.6787  2 Mg 3.32, 6 Tm 3.38-3.63, 2 Y 3.54, 2 Gd 3.58
4 Tm 0.5000 0.1308 0.1308  2 Mg 3.32, 6 Tm 3.38-3.63, 2 Gd 3.54, 2 Y 3.58
5 Mg 0.0000 0.3401 0.3401  2 Gd 3.30, 4 Y 3.32, 2 Tm 3.32, 4 Mg 3.52-3.63
6 Mg 0.5000 0.4691 0.4691  2 Y 3.30, 4 Gd 3.32, 2 Tm 3.32, 4 Mg 3.52-3.63

Properties
The value obtained for the total DFT energy (no corrections) is -3.92 eV/atom.

***

(4)
Here is a geometry-optimized ZrCo4B3 structure from OQMD. Energies are from PBE-GGA.

Cell: 4.9647 3.0314 5.6634 Å, 90.00 90.00 90.00°
With the nearest neighbours (Å) after each atom.
Fractional positions:
1 Zr 0.0000 0.0000 0.0000  6 Co 2.45-2.57
2 Co 0.2590 0.5000 0.2856  3 B 1.93-2.06
3 Co 0.2701 0.0000 0.6362  3 B 2.06-2.20, 1 Co 2.29
4 Co 0.7315 0.0000 0.6361  3 B 2.06-2.21, 1 Co 2.29
5 Co 0.7396 0.5000 0.2859  3 B 1.93-2.06
6 B 0.0007 0.5000 0.5696  6 Co 2.06
7 B 0.4994 0.0000 0.3039  4 Co 1.93
8 B 0.5023 0.5000 0.8802  6 Co 2.35-2.59

Properties
The value obtained for the total DFT energy (no corrections) is -7.06 eV/atom.

***

(5)
Here is a geometry-optimized CoHgBi2 structure from OQMD. Energies are from PBE-GGA.

Cell: 5.1493 5.1493 5.1493 Å, 60.00 60.00 60.00°
With the nearest neighbours (Å) after each atom.
Fractional positions:
1 Co 0.0000 0.0000 0.0000  4 Hg 3.15, 4 Bi 3.15
2 Hg 0.7500 0.7500 0.7500  4 Bi 3.15, 4 Co 3.15
3 Bi 0.2500 0.2500 0.2500  4 Bi 3.15, 4 Co 3.15
4 Bi 0.5000 0.5000 0.5000  4 Hg 3.15, 4 Bi 3.15

Properties
The value obtained for the total DFT energy (no corrections) is -3.25 eV/atom.

***

(6)
Here is a geometry-optimized CsTmMgSe3 structure from OQMD. Energies are from PBE-GGA.

Cell: 16.3956 4.2437 11.2192 Å, 90.00 90.00 90.00°
With the nearest neighbours (Å) after each atom.
Fractional positions:
1 Cs 0.2397 0.2500 0.0359  7 Se 3.60-3.87
2 Cs 0.2603 0.7500 0.5359  7 Se 3.60-3.87
3 Cs 0.7397 0.2500 0.4641  7 Se 3.60-3.87
4 Cs 0.7603 0.7500 0.9641  7 Se 3.60-3.87
5 Tm 0.0218 0.2500 0.3539  6 Se 2.76-3.07
6 Tm 0.4782 0.7500 0.8539  6 Se 2.76-3.07
7 Tm 0.5218 0.2500 0.1461  6 Se 2.76-3.07
8 Tm 0.9782 0.7500 0.6461  6 Se 2.76-3.07
9 Mg 0.0166 0.7500 0.1021  4 Se 2.53-2.64
10 Mg 0.4834 0.2500 0.6021  4 Se 2.53-2.64
11 Mg 0.5166 0.7500 0.3979  4 Se 2.53-2.64
12 Mg 0.9834 0.2500 0.8979  4 Se 2.53-2.64
13 Se 0.0730 0.7500 0.8818  3 Mg 2.59-2.64
14 Se 0.0855 0.2500 0.5816  3 Tm 2.76-2.85
15 Se 0.1244 0.7500 0.2631  1 Mg 2.53
16 Se 0.3756 0.2500 0.7631  1 Mg 2.53
17 Se 0.4145 0.7500 0.0816  3 Tm 2.76-2.85
18 Se 0.4270 0.2500 0.3818  3 Mg 2.59-2.64
19 Se 0.5730 0.7500 0.6182  3 Mg 2.59-2.64
20 Se 0.5855 0.2500 0.9184  3 Tm 2.76-2.85
21 Se 0.6244 0.7500 0.2369  1 Mg 2.53
22 Se 0.8756 0.2500 0.7369  1 Mg 2.53
23 Se 0.9145 0.7500 0.4184  3 Tm 2.76-2.85
24 Se 0.9270 0.2500 0.1182  3 Mg 2.59-2.64

Properties
The value obtained for the total DFT energy (no corrections) is -4.45 eV/atom.

***

(7)
Here is a geometry-optimized Nd2Al5Cu5 structure from OQMD. Energies are from PBE-GGA.

Cell: 4.1572 5.3602 9.1786 Å, 90.00 90.00 90.00°
With the nearest neighbours (Å) after each atom.
Fractional positions:
1 Nd 0.0000 0.0000 0.0000  10 Cu 3.05-3.39, 8 Al 3.31
2 Nd 0.0000 0.5000 0.5000  6 Cu 3.07-3.09, 12 Al 3.39-3.44
3 Al 0.5000 0.0000 0.5000  4 Cu 2.58, 4 Al 2.74
4 Al 0.5000 0.2512 0.2396  5 Cu 2.56-2.62, 3 Al 2.67-2.74
5 Al 0.5000 0.2512 0.7604  5 Cu 2.56-2.62, 3 Al 2.67-2.74
6 Al 0.5000 0.7488 0.2396  5 Cu 2.56-2.62, 3 Al 2.67-2.74
7 Al 0.5000 0.7488 0.7604  5 Cu 2.56-2.62, 3 Al 2.67-2.74
8 Cu 0.0000 0.0000 0.3326  6 Al 2.58-2.62
9 Cu 0.0000 0.0000 0.6674  6 Al 2.58-2.62
10 Cu 0.0000 0.5000 0.1653  4 Al 2.56, 2 Cu 2.57
11 Cu 0.0000 0.5000 0.8347  4 Al 2.56, 2 Cu 2.57
12 Cu 0.5000 0.5000 0.0000  4 Al 2.57, 4 Cu 2.57

Properties
The value obtained for the total DFT energy (no corrections) is -4.34 eV/atom.

***

(8)
Here is a geometry-optimized LuMgPd2 structure from OQMD. Energies are from PBE-GGA.

Cell: 4.6868 4.6868 4.6868 Å, 60.00 60.00 60.00°
With the nearest neighbours (Å) after each atom.
Fractional positions:
1 Lu 0.0000 0.0000 0.0000  4 Mg 2.87, 4 Pd 2.87
2 Mg 0.7500 0.7500 0.7500  4 Lu 2.87, 4 Pd 2.87
3 Pd 0.2500 0.2500 0.2500  4 Pd 2.87, 4 Lu 2.87
4 Pd 0.5000 0.5000 0.5000  4 Mg 2.87, 4 Pd 2.87

Properties
The value obtained for the total DFT energy (no corrections) is -4.63 eV/atom.

***

(9)
Here is a geometry-optimized Li8InHg2 structure from OQMD. Energies are from PBE-GGA.

Cell: 4.5695 4.5695 10.7179 Å, 102.47 102.47 59.86°
With the nearest neighbours (Å) after each atom.
Fractional positions:
1 Li 0.0907 0.0907 0.2728  3 Hg 2.77, 4 Li 2.82-2.84, 1 In 2.83
2 Li 0.1822 0.1822 0.5462  5 Li 2.80-2.88, 3 Hg 2.83
3 Li 0.2748 0.2748 0.8241  8 Li 2.77-2.88
4 Li 0.3642 0.3642 0.0929  1 Hg 2.72, 4 Li 2.77-2.79, 3 In 2.81
5 Li 0.6358 0.6358 0.9071  1 Hg 2.72, 4 Li 2.77-2.79, 3 In 2.81
6 Li 0.7252 0.7252 0.1759  8 Li 2.77-2.88
7 Li 0.8178 0.8178 0.4538  5 Li 2.80-2.88, 3 Hg 2.83
8 Li 0.9093 0.9093 0.7272  3 Hg 2.77, 4 Li 2.82-2.84, 1 In 2.83
9 In 0.0000 0.0000 0.0000  8 Li 2.81-2.83
10 Hg 0.4511 0.4511 0.3544  7 Li 2.72-2.83, 1 Hg 3.02
11 Hg 0.5489 0.5489 0.6456  7 Li 2.72-2.83, 1 Hg 3.02

Properties
The value obtained for the total DFT energy (no corrections) is -1.96 eV/atom.

***

(10)
Here is a geometry-optimized GdBAsO structure from OQMD. Energies are from PBE-GGA.

Cell: 3.5594 6.7364 5.9363 Å, 90.00 90.00 90.00°
With the nearest neighbours (Å) after each atom.
Fractional positions:
1 Gd 0.0000 0.2125 0.0000  2 O 2.24
2 Gd 0.0000 0.7875 0.5000  2 O 2.24
3 B 0.5000 0.3843 0.4934  1 O 1.36
4 B 0.5000 0.6157 0.9934  1 O 1.36
5 As 0.0000 0.2173 0.4992  2 B 2.11
6 As 0.0000 0.7827 0.9992  2 B 2.11
7 O 0.5000 0.4141 0.9933  1 B 1.36
8 O 0.5000 0.5859 0.4933  1 B 1.36

Properties
As for the polymorph energy (0 for the lowest one): 0.0651 eV/atom.

***

(11)
Here is a geometry-optimized ScGaNiPd structure from OQMD. Energies are from PBE-GGA.

Cell: 4.4171 4.4171 4.4171 Å, 60.00 60.00 60.00°
With the nearest neighbours (Å) after each atom.
Fractional positions:
1 Sc 0.0000 0.0000 0.0000  4 Ni 2.70, 4 Pd 2.70
2 Ga 0.5000 0.5000 0.5000  4 Ni 2.70, 4 Pd 2.70
3 Ni 0.7500 0.7500 0.7500  4 Ga 2.70, 4 Sc 2.70
4 Pd 0.2500 0.2500 0.2500  4 Ga 2.70, 4 Sc 2.70

Properties
As for the polymorph energy (0 for the lowest one): 0.0000 eV/atom.

***

(12)
Here is a geometry-optimized TcOsNO structure from OQMD. Energies are from PBE-GGA.

Cell: 3.7709 3.7709 6.1371 Å, 90.00 90.00 90.00°
With the nearest neighbours (Å) after each atom.
Fractional positions:
1 Tc 0.2500 0.2500 0.1554  4 O 2.11
2 Tc 0.7500 0.7500 0.8446  4 O 2.11
3 Os 0.2500 0.7500 0.5000  4 N 2.12
4 Os 0.7500 0.2500 0.5000  4 N 2.12
5 N 0.2500 0.2500 0.6579  4 Os 2.12
6 N 0.7500 0.7500 0.3421  4 Os 2.12
7 O 0.2500 0.7500 0.0000  4 Tc 2.11
8 O 0.7500 0.2500 0.0000  4 Tc 2.11

Properties
As for the polymorph energy (0 for the lowest one): 0.5850 eV/atom.

***

Values for calculated density, g/cm³, ordered as above
4.5, 12.5, 6.2, 7.0, 11.7, 4.8, 6.0, 9.4, 5.1, 6.0, 7.6, 12.1